This record from Alexandria describes RePbNO2 at its PBEsol-relaxed geometry. The functional is SCAN.

M_tot = 0.00 μB/cell
electronic total energy = -34.462 eV/atom
formation energy without anion corrections = -355 kJ/mol of formula units
crystal system = tetragonal
symmetry = No. 123
calculated volume = 61.9 Å³ per cell

Unit cell a=3.915 b=3.976 c=3.976 alpha=90.00 beta=90.00 gamma=90.00
Atoms (fractional coordinates):
Pb  0.500  0.500  0.500
O  0.000  0.000  0.500
O  0.000  0.500  0.000
Re  0.000  0.000  0.000
N  0.500  0.000  0.000